Pm4Y6Ho: optimized geometry, GGA-PBE.

Calculated values
Electronic total energy   -5.553 eV/atom
Total magnetic moment   0.0000 μB per atom
Symmetry   Cmcm (63)
Polymorph energy (0 for the lowest one)   0 meV per atom
ΔH_f (0 K)   0.12 eV/atom

```
Pm4Y6Ho
1.0
-2.954 -4.697 -1.597
5.599 0.276 -0.731
3.581 -10.267 23.564
Pm Y Ho
8 12 2
Cartesian
1.903 -11.482 19.804
4.772 -13.580 20.668
0.986 -8.853 13.770
5.241 -5.836 7.466
2.926 -5.328 10.253
4.324 -3.206 1.432
3.300 -9.360 10.982
1.454 -1.108 0.568
4.757 -9.960 20.486
0.314 -7.482 10.983
2.338 -3.862 7.030
4.371 -12.208 17.376
3.726 -7.005 13.705
1.469 -4.728 0.749
1.351 -10.120 16.821
2.500 -7.683 7.531
3.889 -10.826 14.205
-1.477 -2.348 -0.799
4.875 -4.568 4.414
1.856 -2.480 3.860
2.030 -6.228 4.123
4.197 -8.460 17.112
```